# SrTaC2 PBE-GGA relaxed
data_SrTaC2
_space_group_name_H-M_alt 'F m -3 m'
_space_group_IT_number 225
_space_group_name_Hall '-F 4 2 3'
_cell_length_a 6.033
_cell_length_b 6.033
_cell_length_c 6.033
_cell_angle_alpha 90.00
_cell_angle_beta 90.00
_cell_angle_gamma 90.00
loop_
_atom_site_label
_atom_site_type_symbol
_atom_site_fract_x
_atom_site_fract_y
_atom_site_fract_z
Sr1 Sr 0.000 0.000 0.000
Ta1 Ta 0.000 0.000 0.500
C1 C 0.250 0.250 0.250
# - Distance to the lowest polymorph of the same formula: 5.02 eV/f.u.
# - DFT formation energy: 1.544 eV/atom
# - Mass density: 8.85 g/cm³